Compound: CsCoBrF2
Source: Alexandria via LeMat-Bulk
Functional: GGA+U
Structure: relaxed

```
CsCoBrF2
1.0
-0.244 -2.986 3.359
3.437 -5.733 -4.847
6.130 3.599 3.645
Co Cs Br F
2 2 2 4
Cartesian
0.969 -2.190 2.648
8.353 -2.930 -0.490
4.758 -1.294 3.720
4.564 -3.826 -1.562
2.482 -3.629 1.478
6.840 -1.491 0.679
0.690 -0.571 1.051
5.130 -6.638 -1.004
8.632 -4.549 1.107
4.192 1.518 3.162
```

Summary:
- Final energy: -4.192 eV per atom
- Calculated density: 3.59 g cm⁻³
- Spin magnetization: 3.0 μB/f.u.